K2UTe2O2, optimized geometry, DFT PBE-GGA; formation energy without anion corrections = -1.6181 eV/atom; electronic total energy = -41.010 eV/cell; calculated volume = 177.7 Å³/cell; M_tot = 0.0197 μB/atom
1.0
-1.9050 -0.1456 -4.0376
-3.6839 -1.7705 1.8020
-0.5128 9.1279 2.3836
K U Te O
2 1 2 2
direct
0.3810 0.3810 0.7621
0.6190 0.6190 0.2379
0.0000 0.0000 0.0000
0.1649 0.1649 0.3298
0.8351 0.8351 0.6702
0.0000 0.5000 0.0000
0.5000 0.0000 0.0000